# SrCo2WC

An optimized crystal structure of SrCo2WC (PBE, Alexandria). Values from VASP.

```
&SYSTEM
  ibrav = 0, nat = 5, ntyp = 4
/
ATOMIC_SPECIES
Sr 87.62 Sr.upf
C 12.01 C.upf
Co 58.93 Co.upf
W 183.84 W.upf
CELL_PARAMETERS angstrom
-2.315 3.649 0.637
-4.236 -3.253 3.247
2.227 0.771 3.678
ATOMIC_POSITIONS crystal
Sr 0.000 0.500 0.000
C 0.500 0.500 0.500
Co 0.000 0.000 0.500
Co 0.500 0.000 0.000
W 0.000 0.000 0.000
```

Output
**Fermi-level density of states**: 5.65 states/eV/cell
**Total magnetization**: 2.05 Bohr magnetons per cell



# SrY2CoC

An optimized crystal structure of SrY2CoC (PBE, Alexandria). Values from VASP.

```
&SYSTEM
  ibrav = 0, nat = 5, ntyp = 4
/
ATOMIC_SPECIES
Y 88.91 Y.upf
Sr 87.62 Sr.upf
C 12.01 C.upf
Co 58.93 Co.upf
CELL_PARAMETERS angstrom
5.267 0.000 0.000
0.000 3.813 0.000
0.000 0.000 5.267
ATOMIC_POSITIONS crystal
Y 0.000 0.000 0.500
Y 0.500 0.000 0.000
Sr 0.500 0.500 0.500
C 0.000 0.000 0.000
Co 0.000 0.500 0.000
```

Output
**Fermi-level density of states**: 3.54 states/eV/cell
**Total magnetization**: 0.00 Bohr magnetons per cell



# Ta4Co2C

An optimized crystal structure of Ta4Co2C (PBE, Alexandria). Values from VASP.

```
&SYSTEM
  ibrav = 0, nat = 28, ntyp = 3
/
ATOMIC_SPECIES
Ta 180.95 Ta.upf
Co 58.93 Co.upf
C 12.01 C.upf
CELL_PARAMETERS angstrom
8.250 0.000 0.000
4.125 7.144 0.000
4.125 2.381 6.736
ATOMIC_POSITIONS crystal
Ta 0.125 0.625 0.625
Ta 0.625 0.125 0.625
Ta 0.625 0.625 0.125
Ta 0.625 0.625 0.625
Ta 0.814 0.814 0.186
Ta 0.186 0.186 0.814
Ta 0.814 0.186 0.814
Ta 0.186 0.814 0.186
Ta 0.186 0.814 0.814
Ta 0.814 0.186 0.186
Ta 0.436 0.436 0.064
Ta 0.064 0.064 0.436
Ta 0.436 0.064 0.436
Ta 0.064 0.436 0.064
Ta 0.064 0.436 0.436
Ta 0.436 0.064 0.064
Co 0.750 0.417 0.417
Co 0.417 0.750 0.417
Co 0.417 0.417 0.750
Co 0.417 0.417 0.417
Co 0.500 0.833 0.833
Co 0.833 0.500 0.833
Co 0.833 0.833 0.500
Co 0.833 0.833 0.833
C 0.625 0.125 0.125
C 0.125 0.625 0.125
C 0.125 0.125 0.625
C 0.125 0.125 0.125
```

Output
**Fermi-level density of states**: 30.87 states/eV/cell
**Total magnetization**: 8.04 Bohr magnetons per cell



# Ta4CoC

An optimized crystal structure of Ta4CoC (PBE, Alexandria). Values from VASP.

```
&SYSTEM
  ibrav = 0, nat = 12, ntyp = 3
/
ATOMIC_SPECIES
Ta 180.95 Ta.upf
Co 58.93 Co.upf
C 12.01 C.upf
CELL_PARAMETERS angstrom
-5.146 3.379 -0.424
-1.595 -1.799 5.020
3.669 3.419 2.391
ATOMIC_POSITIONS crystal
Ta 0.874 0.635 0.142
Ta 0.626 0.135 0.858
Ta 0.296 0.338 0.397
Ta 0.204 0.838 0.603
Ta 0.126 0.365 0.858
Ta 0.374 0.865 0.142
Ta 0.704 0.662 0.603
Ta 0.796 0.162 0.397
Co 0.000 0.000 0.000
Co 0.500 0.500 0.000
C 0.500 0.000 0.500
C 0.000 0.500 0.500
```

Output
**Fermi-level density of states**: 11.65 states/eV/cell
**Total magnetization**: 0.00 Bohr magnetons per cell



# TaCoC

An optimized crystal structure of TaCoC (PBE, Alexandria). Values from VASP.

```
&SYSTEM
  ibrav = 0, nat = 6, ntyp = 3
/
ATOMIC_SPECIES
Ta 180.95 Ta.upf
C 12.01 C.upf
Co 58.93 Co.upf
CELL_PARAMETERS angstrom
3.774 0.000 0.000
1.887 3.268 0.000
1.887 1.089 6.155
ATOMIC_POSITIONS crystal
Ta 0.606 0.606 0.181
Ta 0.394 0.394 0.819
C 0.280 0.280 0.159
C 0.720 0.720 0.841
Co 0.819 0.819 0.543
Co 0.181 0.181 0.457
```

Output
**Fermi-level density of states**: 4.95 states/eV/cell
**Total magnetization**: 1.62 Bohr magnetons per cell



# TaCoC3

An optimized crystal structure of TaCoC3 (PBE, Alexandria). Values from VASP.

```
&SYSTEM
  ibrav = 0, nat = 5, ntyp = 3
/
ATOMIC_SPECIES
C 12.01 C.upf
Co 58.93 Co.upf
Ta 180.95 Ta.upf
CELL_PARAMETERS angstrom
-0.322 2.437 2.740
-3.436 0.759 -1.079
-1.279 -2.652 2.208
ATOMIC_POSITIONS crystal
C 0.000 0.500 0.000
C 0.000 0.000 0.500
C 0.500 0.000 0.000
Co 0.000 0.000 0.000
Ta 0.500 0.500 0.500
```

Output
**Relative energy among the computed polymorphs**: 0.0 kJ/mol of atoms
**Fermi-level density of states**: 6.44 states/eV/cell
**Total magnetization**: 0.00 Bohr magnetons per cell



# Ta4CoC2

An optimized crystal structure of Ta4CoC2 (PBE, Alexandria). Values from VASP.

```
&SYSTEM
  ibrav = 0, nat = 14, ntyp = 3
/
ATOMIC_SPECIES
C 12.01 C.upf
Co 58.93 Co.upf
Ta 180.95 Ta.upf
CELL_PARAMETERS angstrom
-0.502 3.018 0.866
-4.155 -1.408 -3.340
-5.885 -3.503 8.796
ATOMIC_POSITIONS crystal
C 0.136 0.271 0.438
C 0.864 0.729 0.938
C 0.136 0.271 0.062
C 0.864 0.729 0.562
Co 0.609 0.217 0.750
Co 0.391 0.783 0.250
Ta 0.769 0.538 0.111
Ta 0.769 0.538 0.389
Ta 0.231 0.462 0.889
Ta 0.231 0.462 0.611
Ta 0.930 0.859 0.750
Ta 0.070 0.141 0.250
Ta 0.500 0.000 0.000
Ta 0.500 0.000 0.500
```

Output
**Fermi-level density of states**: 7.52 states/eV/cell
**Total magnetization**: 0.00 Bohr magnetons per cell



# Ta3CoC

An optimized crystal structure of Ta3CoC (PBE, Alexandria). Values from VASP.

```
&SYSTEM
  ibrav = 0, nat = 5, ntyp = 3
/
ATOMIC_SPECIES
C 12.01 C.upf
Co 58.93 Co.upf
Ta 180.95 Ta.upf
CELL_PARAMETERS angstrom
4.223 0.000 0.000
0.000 4.223 0.000
0.000 0.000 4.223
ATOMIC_POSITIONS crystal
C 0.000 0.000 0.000
Co 0.500 0.500 0.500
Ta 0.000 0.500 0.000
Ta 0.000 0.000 0.500
Ta 0.500 0.000 0.000
```

Output
**Relative energy among the computed polymorphs**: 0.0 kJ/mol of atoms
**Fermi-level density of states**: 5.36 states/eV/cell
**Total magnetization**: 0.00 Bohr magnetons per cell



# TaCoC3

An optimized crystal structure of TaCoC3 (PBE, Alexandria). Values from VASP.

```
&SYSTEM
  ibrav = 0, nat = 5, ntyp = 3
/
ATOMIC_SPECIES
C 12.01 C.upf
Co 58.93 Co.upf
Ta 180.95 Ta.upf
CELL_PARAMETERS angstrom
-2.514 3.253 0.158
-0.217 -0.367 4.092
3.250 2.492 0.395
ATOMIC_POSITIONS crystal
C 0.000 0.500 0.000
C 0.000 0.000 0.500
C 0.500 0.000 0.000
Co 0.500 0.500 0.500
Ta 0.000 0.000 0.000
```

Output
**Relative energy among the computed polymorphs**: 51.6 kJ/mol of atoms
**Fermi-level density of states**: 7.13 states/eV/cell
**Total magnetization**: 0.00 Bohr magnetons per cell



# Ta3Co3C

An optimized crystal structure of Ta3Co3C (PBE, Alexandria). Values from VASP.

```
&SYSTEM
  ibrav = 0, nat = 28, ntyp = 3
/
ATOMIC_SPECIES
Ta 180.95 Ta.upf
Co 58.93 Co.upf
C 12.01 C.upf
CELL_PARAMETERS angstrom
7.994 0.000 0.000
3.997 6.923 0.000
3.997 2.308 6.527
ATOMIC_POSITIONS crystal
Ta 0.199 0.801 0.199
Ta 0.801 0.199 0.801
Ta 0.051 0.449 0.051
Ta 0.051 0.449 0.449
Ta 0.449 0.051 0.051
Ta 0.449 0.051 0.449
Ta 0.801 0.801 0.199
Ta 0.051 0.051 0.449
Ta 0.199 0.199 0.801
Ta 0.199 0.801 0.801
Ta 0.449 0.449 0.051
Ta 0.801 0.199 0.199
Co 0.625 0.625 0.625
Co 0.829 0.829 0.513
Co 0.513 0.829 0.829
Co 0.421 0.737 0.421
Co 0.737 0.421 0.421
Co 0.421 0.421 0.421
Co 0.421 0.421 0.737
Co 0.829 0.513 0.829
Co 0.125 0.625 0.625
Co 0.625 0.625 0.125
Co 0.625 0.125 0.625
Co 0.829 0.829 0.829
C 0.125 0.125 0.125
C 0.125 0.125 0.625
C 0.625 0.125 0.125
C 0.125 0.625 0.125
```

Output
**Fermi-level density of states**: 24.79 states/eV/cell
**Total magnetization**: 4.73 Bohr magnetons per cell



# Ta2Ti2Co2C

An optimized crystal structure of Ta2Ti2Co2C (PBE, Alexandria). Values from VASP.

```
&SYSTEM
  ibrav = 0, nat = 28, ntyp = 4
/
ATOMIC_SPECIES
Ta 180.95 Ta.upf
Ti 47.87 Ti.upf
Co 58.93 Co.upf
C 12.01 C.upf
CELL_PARAMETERS angstrom
8.119 -0.005 0.000
-0.043 8.119 0.000
-4.038 -4.057 5.758
ATOMIC_POSITIONS crystal
Ta 0.309 0.309 0.000
Ta 0.691 0.691 0.000
Ta 0.560 0.060 0.120
Ta 0.940 0.440 0.880
Ta 0.940 0.060 0.500
Ta 0.560 0.440 0.500
Ta 0.936 0.436 0.500
Ta 0.564 0.064 0.500
Ti 0.122 0.375 0.253
Ti 0.131 0.878 0.253
Ti 0.625 0.878 0.747
Ti 0.122 0.869 0.747
Ti 0.685 0.685 0.369
Ti 0.315 0.315 0.631
Ti 0.315 0.685 0.000
Ti 0.685 0.315 0.000
Co 0.914 0.748 0.834
Co 0.921 0.086 0.834
Co 0.252 0.086 0.166
Co 0.914 0.079 0.166
Co 0.333 0.002 0.669
Co 0.336 0.667 0.669
Co 0.998 0.667 0.331
Co 0.333 0.664 0.331
C 0.623 0.872 0.248
C 0.625 0.377 0.248
C 0.128 0.377 0.752
C 0.623 0.375 0.752
```

Output
**Fermi-level density of states**: 28.36 states/eV/cell
**Total magnetization**: 0.05 Bohr magnetons per cell



# TaVCoC2

An optimized crystal structure of TaVCoC2 (PBE, Alexandria). Values from VASP.

```
&SYSTEM
  ibrav = 0, nat = 5, ntyp = 4
/
ATOMIC_SPECIES
C 12.01 C.upf
V 50.94 V.upf
Co 58.93 Co.upf
Ta 180.95 Ta.upf
CELL_PARAMETERS angstrom
-2.899 -2.224 0.324
2.810 -3.359 2.089
-0.733 1.436 3.295
ATOMIC_POSITIONS crystal
C 0.000 0.000 0.500
C 0.500 0.000 0.000
V 0.500 0.500 0.500
Co 0.000 0.000 0.000
Ta 0.000 0.500 0.000
```

Output
**Fermi-level density of states**: 5.94 states/eV/cell
**Total magnetization**: 0.00 Bohr magnetons per cell



# TbCoC2

An optimized crystal structure of TbCoC2 (PBE, Alexandria). Values from VASP.

```
&SYSTEM
  ibrav = 0, nat = 4, ntyp = 3
/
ATOMIC_SPECIES
Co 58.93 Co.upf
C 12.01 C.upf
Tb 158.93 Tb.upf
CELL_PARAMETERS angstrom
3.753 0.002 0.000
-1.042 3.605 0.000
0.000 0.000 3.610
ATOMIC_POSITIONS crystal
Co 0.379 0.621 0.500
C 0.537 0.157 0.500
C 0.843 0.463 0.500
Tb 0.996 0.004 0.000
```

Output
**Fermi-level density of states**: 1.50 states/eV/cell
**Total magnetization**: 0.00 Bohr magnetons per cell



# TbCoC2

An optimized crystal structure of TbCoC2 (PBE, Alexandria). Values from VASP.

```
&SYSTEM
  ibrav = 0, nat = 16, ntyp = 3
/
ATOMIC_SPECIES
Tb 158.93 Tb.upf
Co 58.93 Co.upf
C 12.01 C.upf
CELL_PARAMETERS angstrom
3.687 0.000 0.000
0.000 3.687 0.000
0.000 0.000 14.406
ATOMIC_POSITIONS crystal
Tb 0.867 0.864 0.374
Tb 0.136 0.867 0.624
Tb 0.864 0.133 0.124
Tb 0.133 0.136 0.874
Co 0.642 0.630 0.971
Co 0.370 0.642 0.221
Co 0.630 0.358 0.721
Co 0.358 0.370 0.471
C 0.638 0.357 0.588
C 0.643 0.638 0.838
C 0.357 0.362 0.338
C 0.362 0.643 0.088
C 0.862 0.366 0.511
C 0.634 0.862 0.761
C 0.366 0.138 0.261
C 0.138 0.634 0.011
```

Output
**Fermi-level density of states**: 5.38 states/eV/cell
**Total magnetization**: 0.00 Bohr magnetons per cell



# TbCo2C

An optimized crystal structure of TbCo2C (PBE, Alexandria). Values from VASP.

```
&SYSTEM
  ibrav = 0, nat = 4, ntyp = 3
/
ATOMIC_SPECIES
Co 58.93 Co.upf
C 12.01 C.upf
Tb 158.93 Tb.upf
CELL_PARAMETERS angstrom
3.494 0.000 0.000
1.747 3.025 0.000
1.747 1.008 4.999
ATOMIC_POSITIONS crystal
Co 0.701 0.701 0.897
Co 0.299 0.299 0.103
C 0.000 0.000 0.000
Tb 0.500 0.500 0.500
```

Output
**Relative energy among the computed polymorphs**: 11.3 kJ/mol of atoms
**Fermi-level density of states**: 1.43 states/eV/cell
**Total magnetization**: 0.00 Bohr magnetons per cell



# Tb3Co4C2

An optimized crystal structure of Tb3Co4C2 (PBE, Alexandria). Values from VASP.

```
&SYSTEM
  ibrav = 0, nat = 9, ntyp = 3
/
ATOMIC_SPECIES
Tb 158.93 Tb.upf
Co 58.93 Co.upf
C 12.01 C.upf
CELL_PARAMETERS angstrom
-0.939 0.028 -3.554
-3.521 -3.609 2.804
-2.260 6.683 0.649
ATOMIC_POSITIONS crystal
Tb 0.608 0.217 0.699
Tb 0.000 0.000 0.000
Tb 0.392 0.783 0.301
Co 0.706 0.412 0.130
Co 0.294 0.588 0.870
Co 0.829 0.658 0.570
Co 0.171 0.342 0.430
C 0.646 0.292 0.349
C 0.354 0.708 0.651
```

Output
**Fermi-level density of states**: 5.34 states/eV/cell
**Total magnetization**: 0.00 Bohr magnetons per cell



# TbCo2C

An optimized crystal structure of TbCo2C (PBE, Alexandria). Values from VASP.

```
&SYSTEM
  ibrav = 0, nat = 8, ntyp = 3
/
ATOMIC_SPECIES
Tb 158.93 Tb.upf
Co 58.93 Co.upf
C 12.01 C.upf
CELL_PARAMETERS angstrom
3.251 0.000 0.000
-1.626 4.892 0.000
0.000 0.000 6.455
ATOMIC_POSITIONS crystal
Tb 0.949 0.898 0.250
Tb 0.051 0.102 0.750
Co 0.322 0.644 0.573
Co 0.678 0.356 0.427
Co 0.322 0.644 0.927
Co 0.678 0.356 0.073
C 0.779 0.558 0.750
C 0.221 0.442 0.250
```

Output
**Relative energy among the computed polymorphs**: 0.0 kJ/mol of atoms
**Fermi-level density of states**: 8.70 states/eV/cell
**Total magnetization**: 0.87 Bohr magnetons per cell



# Tb2CoC2

An optimized crystal structure of Tb2CoC2 (PBE, Alexandria). Values from VASP.

```
&SYSTEM
  ibrav = 0, nat = 10, ntyp = 3
/
ATOMIC_SPECIES
Tb 158.93 Tb.upf
Co 58.93 Co.upf
C 12.01 C.upf
CELL_PARAMETERS angstrom
-2.718 0.602 -2.114
-2.145 -5.001 -1.558
-6.516 -2.443 4.791
ATOMIC_POSITIONS crystal
Tb 0.678 0.271 0.372
Tb 0.887 0.291 0.935
Tb 0.322 0.729 0.628
Tb 0.113 0.709 0.065
Co 0.576 0.136 0.712
Co 0.424 0.864 0.288
C 0.013 0.391 0.583
C 0.698 0.771 0.834
C 0.987 0.609 0.417
C 0.302 0.229 0.166
```

Output
**Relative energy among the computed polymorphs**: 10.0 kJ/mol of atoms
**Fermi-level density of states**: 6.23 states/eV/cell
**Total magnetization**: 0.00 Bohr magnetons per cell



# Tb2Co17C2

An optimized crystal structure of Tb2Co17C2 (PBE, Alexandria). Values from VASP.

```
&SYSTEM
  ibrav = 0, nat = 21, ntyp = 3
/
ATOMIC_SPECIES
Tb 158.93 Tb.upf
Co 58.93 Co.upf
C 12.01 C.upf
CELL_PARAMETERS angstrom
-1.581 1.216 -6.078
-2.971 -5.493 -1.058
-5.840 2.131 1.214
ATOMIC_POSITIONS crystal
Tb 0.333 0.351 0.351
Tb 0.667 0.649 0.649
Co 0.094 0.097 0.097
Co 0.906 0.903 0.903
Co 0.000 0.285 0.715
Co 0.718 0.998 0.284
Co 0.282 0.716 0.002
Co 0.282 0.002 0.716
Co 0.718 0.284 0.998
Co 0.000 0.715 0.285
Co 0.658 0.653 0.143
Co 0.134 0.652 0.652
Co 0.658 0.143 0.653
Co 0.342 0.347 0.857
Co 0.866 0.348 0.348
Co 0.342 0.857 0.347
Co 0.500 0.000 0.000
Co 0.000 0.500 0.000
Co 0.000 0.000 0.500
C 0.500 0.000 0.500
C 0.500 0.500 0.000
```

Output
**Fermi-level density of states**: 24.35 states/eV/cell
**Total magnetization**: 21.47 Bohr magnetons per cell



# TbCoC

An optimized crystal structure of TbCoC (PBE, Alexandria). Values from VASP.

```
&SYSTEM
  ibrav = 0, nat = 6, ntyp = 3
/
ATOMIC_SPECIES
Tb 158.93 Tb.upf
Co 58.93 Co.upf
C 12.01 C.upf
CELL_PARAMETERS angstrom
3.622 0.000 0.000
0.000 3.622 0.000
0.000 0.000 6.998
ATOMIC_POSITIONS crystal
Tb 0.000 0.000 0.750
Tb 0.000 0.000 0.250
Co 0.500 0.500 0.000
Co 0.500 0.500 0.500
C 0.500 0.000 0.500
C 0.000 0.500 0.000
```

Output
**Relative energy among the computed polymorphs**: 0.0 kJ/mol of atoms
**Fermi-level density of states**: 3.71 states/eV/cell
**Total magnetization**: 0.01 Bohr magnetons per cell



# TbCoC

An optimized crystal structure of TbCoC (PBE, Alexandria). Values from VASP.

```
&SYSTEM
  ibrav = 0, nat = 3, ntyp = 3
/
ATOMIC_SPECIES
Co 58.93 Co.upf
C 12.01 C.upf
Tb 158.93 Tb.upf
CELL_PARAMETERS angstrom
-3.151 1.388 -0.993
-0.627 -2.881 -2.035
-1.598 -1.626 2.795
ATOMIC_POSITIONS crystal
Co 0.500 0.500 0.500
C 0.500 0.500 0.000
Tb 0.000 0.000 0.000
```

Output
**Relative energy among the computed polymorphs**: 5.7 kJ/mol of atoms
**Fermi-level density of states**: 1.87 states/eV/cell
**Total magnetization**: 0.00 Bohr magnetons per cell



For each record above, in turn, the calculated ΔE_f values are 2.30, 0.22, -0.39, -0.06, -0.03, 1.77, -0.51, -0.03, 2.31, -0.35, -0.46, 1.71, -0.34, -0.35, 0.16, -0.11, 0.05, -0.08, -0.05, -0.31, -0.25 eV/atom.